(1)
Density functional theory data (PBE) for a geometry-optimized Mg2Al4Zn3 structure.

Cell lengths 5.420, 5.420, 13.651 Å; angles 90.00, 90.00, 120.00 degrees
Fractional coordinates of all 18 atoms:
Mg1 0.333 0.667 0.953
Mg2 0.667 0.333 0.047
Mg3 0.667 0.333 0.450
Mg4 0.333 0.667 0.550
Al1 0.000 0.000 0.500
Al2 0.000 0.000 0.000
Al3 0.832 0.168 0.839
Al4 0.832 0.663 0.839
Al5 0.337 0.168 0.839
Al6 0.168 0.832 0.161
Al7 0.168 0.337 0.161
Al8 0.663 0.832 0.161
Zn1 0.171 0.829 0.352
Zn2 0.171 0.343 0.352
Zn3 0.657 0.829 0.352
Zn4 0.829 0.171 0.648
Zn5 0.829 0.657 0.648
Zn6 0.343 0.171 0.648

Summary:
Density (g/cm³): 3.4
Energy (eV per formula unit): -21.3
Energy of formation from the pure elements (eV per atom): 0.0728
Crystal system: trigonal

***

(2)
Density functional theory data (PBE) for a geometry-optimized Mg2AlZn4 structure.

Cell lengths 5.430, 5.231, 7.058 Å; angles 128.85, 81.49, 121.93 degrees
Fractional coordinates of all 7 atoms:
Mg1 0.622 0.782 0.287
Mg2 0.378 0.218 0.713
Al1 0.000 0.000 0.000
Zn1 0.000 0.500 0.000
Zn2 0.500 0.000 0.000
Zn3 0.773 0.540 0.494
Zn4 0.227 0.460 0.506

Summary:
Density (g/cm³): 4.4
Energy (eV per formula unit): -11.9
Energy of formation from the pure elements (eV per atom): 0.0222
Crystal system: triclinic

***

(3)
Density functional theory data (PBE) for a geometry-optimized Mg6AlZn structure.

Cell lengths 6.162, 6.162, 4.964 Å; angles 90.00, 90.00, 118.40 degrees
Fractional coordinates of all 8 atoms:
Mg1 0.664 0.835 0.000
Mg2 0.165 0.336 0.000
Mg3 0.836 0.661 0.500
Mg4 0.339 0.164 0.500
Mg5 0.332 0.668 0.500
Mg6 0.832 0.168 0.500
Al1 0.165 0.835 0.000
Zn1 0.667 0.333 0.000

Summary:
Density (g/cm³): 2.4
Energy (eV per formula unit): -14.5
Energy of formation from the pure elements (eV per atom): 0.0074
Crystal system: orthorhombic

***

(4)
Density functional theory data (PBE) for a geometry-optimized Mg17AlZn11 structure.

Cell lengths 8.685, 8.685, 9.338 Å; angles 109.72, 109.72, 107.88 degrees
Fractional coordinates of all 29 atoms:
Mg1 0.996 0.996 0.313
Mg2 0.697 0.697 0.308
Mg3 0.656 0.656 0.660
Mg4 0.395 0.395 0.709
Mg5 0.996 0.996 0.991
Mg6 0.329 0.599 0.003
Mg7 0.401 0.726 0.403
Mg8 0.004 0.301 0.611
Mg9 0.993 0.355 0.998
Mg10 0.277 0.677 0.677
Mg11 0.611 0.003 0.316
Mg12 0.003 0.611 0.316
Mg13 0.677 0.277 0.677
Mg14 0.355 0.993 0.998
Mg15 0.301 0.004 0.611
Mg16 0.726 0.401 0.403
Mg17 0.599 0.329 0.003
Al1 0.359 0.359 0.179
Zn1 0.184 0.184 0.837
Zn2 0.631 0.817 0.993
Zn3 0.180 0.372 0.368
Zn4 0.805 0.996 0.640
Zn5 0.630 0.007 0.819
Zn6 0.816 0.189 0.174
Zn7 0.189 0.816 0.174
Zn8 0.007 0.630 0.819
Zn9 0.996 0.805 0.640
Zn10 0.372 0.180 0.368
Zn11 0.817 0.631 0.993

Summary:
Density (g/cm³): 3.5
Energy (eV per formula unit): -46.6
Energy of formation from the pure elements (eV per atom): -0.0595
Crystal system: monoclinic

***

(5)
Density functional theory data (PBE) for a geometry-optimized MgAl3Zn3 structure.

Cell lengths 7.049, 7.049, 7.049 Å; angles 90.00, 90.00, 90.00 degrees
Fractional coordinates of all 14 atoms:
Mg1 0.500 0.500 0.500
Mg2 0.000 0.000 0.000
Zn1 0.250 0.000 0.500
Zn2 0.000 0.500 0.250
Zn3 0.500 0.750 0.000
Zn4 0.750 0.000 0.500
Zn5 0.000 0.500 0.750
Zn6 0.500 0.250 0.000
Al1 0.000 0.250 0.500
Al2 0.000 0.750 0.500
Al3 0.500 0.000 0.750
Al4 0.750 0.500 0.000
Al5 0.500 0.000 0.250
Al6 0.250 0.500 0.000

Summary:
Density (g/cm³): 2.9
Energy (eV per formula unit): -12.7
Energy of formation from the pure elements (eV per atom): 0.5642
Crystal system: cubic

***

(6)
Density functional theory data (PBE) for a geometry-optimized MgAlZn4 structure.

Cell lengths 4.207, 5.392, 5.392 Å; angles 69.62, 67.03, 67.03 degrees
Fractional coordinates of all 6 atoms:
Mg1 0.000 0.000 0.000
Al1 0.000 0.500 0.500
Zn1 0.663 0.569 0.105
Zn2 0.337 0.895 0.431
Zn3 0.337 0.431 0.895
Zn4 0.663 0.105 0.569

Summary:
Density (g/cm³): 5.2
Energy (eV per formula unit): -10.4
Energy of formation from the pure elements (eV per atom): 0.0080
Crystal system: orthorhombic

***

(7)
Density functional theory data (PBE) for a geometry-optimized MgAl3Zn structure.

Cell lengths 5.219, 5.463, 6.526 Å; angles 90.00, 75.34, 90.00 degrees
Fractional coordinates of all 10 atoms:
Mg1 0.653 0.750 0.314
Mg2 0.347 0.250 0.686
Al1 0.800 0.999 0.876
Al2 0.200 0.001 0.124
Al3 0.800 0.501 0.876
Al4 0.200 0.499 0.124
Al5 0.094 0.750 0.515
Al6 0.906 0.250 0.485
Zn1 0.404 0.750 0.769
Zn2 0.596 0.250 0.231

Summary:
Density (g/cm³): 3.1
Energy (eV per formula unit): -14.0
Energy of formation from the pure elements (eV per atom): 0.0279
Crystal system: monoclinic

***

(8)
Density functional theory data (PBE) for a geometry-optimized MgAl2Zn structure.

Cell lengths 3.976, 3.976, 10.229 Å; angles 78.79, 78.79, 90.00 degrees
Fractional coordinates of all 8 atoms:
Mg1 0.500 0.500 0.000
Mg2 0.250 0.750 0.500
Zn1 0.000 0.000 0.000
Zn2 0.750 0.250 0.500
Al1 0.633 0.125 0.250
Al2 0.117 0.625 0.250
Al3 0.375 0.367 0.750
Al4 0.875 0.883 0.750

Summary:
Density (g/cm³): 3.1
Energy (eV per formula unit): -9.6
Energy of formation from the pure elements (eV per atom): 0.1892
Crystal system: tetragonal

***

(9)
Density functional theory data (PBE) for a geometry-optimized Mg2Al3Zn2 structure.

Cell lengths 4.020, 5.161, 6.736 Å; angles 96.63, 90.00, 112.92 degrees
Fractional coordinates of all 7 atoms:
Mg1 0.623 0.247 0.341
Mg2 0.377 0.753 0.659
Al1 0.311 0.622 0.124
Al2 0.000 0.000 0.000
Al3 0.689 0.378 0.876
Zn1 0.089 0.179 0.650
Zn2 0.911 0.821 0.350

Summary:
Density (g/cm³): 3.4
Energy (eV per formula unit): -17.1
Energy of formation from the pure elements (eV per atom): -0.0225
Crystal system: monoclinic

***

(10)
Density functional theory data (PBE) for a geometry-optimized MgAl7Zn12 structure.

Cell lengths 8.173, 8.173, 8.173 Å; angles 109.47, 109.47, 109.47 degrees
Fractional coordinates of all 20 atoms:
Mg1 0.000 0.000 0.000
Al1 0.500 0.000 0.500
Al2 0.500 0.500 0.000
Al3 0.000 0.500 0.500
Al4 0.000 0.000 0.500
Al5 0.500 0.000 0.000
Al6 0.500 0.500 0.500
Al7 0.000 0.500 0.000
Zn1 0.264 0.145 0.409
Zn2 0.264 0.855 0.119
Zn3 0.736 0.855 0.591
Zn4 0.736 0.145 0.881
Zn5 0.409 0.264 0.145
Zn6 0.881 0.736 0.145
Zn7 0.591 0.736 0.855
Zn8 0.119 0.264 0.855
Zn9 0.855 0.119 0.264
Zn10 0.145 0.881 0.736
Zn11 0.145 0.409 0.264
Zn12 0.855 0.591 0.736

Summary:
Density (g/cm³): 3.9
Energy (eV per formula unit): -36.1
Energy of formation from the pure elements (eV per atom): 0.3498
Crystal system: cubic

***

(11)
Density functional theory data (PBE) for a geometry-optimized Mg17Al11Zn structure.

Cell lengths 9.090, 9.090, 9.109 Å; angles 70.52, 70.52, 109.42 degrees
Fractional coordinates of all 29 atoms:
Mg1 0.001 0.001 0.340
Mg2 0.315 0.315 0.287
Mg3 0.001 0.001 0.998
Mg4 0.603 0.603 0.716
Mg5 0.346 0.346 0.656
Mg6 0.400 0.684 0.000
Mg7 0.686 0.998 0.603
Mg8 0.284 0.600 0.400
Mg9 0.656 0.999 0.999
Mg10 0.999 0.398 0.316
Mg11 0.316 0.715 0.684
Mg12 0.715 0.316 0.684
Mg13 0.398 0.999 0.316
Mg14 0.999 0.656 0.999
Mg15 0.600 0.284 0.400
Mg16 0.998 0.686 0.603
Mg17 0.684 0.400 0.000
Al1 0.635 0.635 0.177
Al2 0.185 0.367 0.000
Al3 0.999 0.183 0.635
Al4 0.634 0.818 0.366
Al5 0.815 0.181 0.185
Al6 0.000 0.366 0.815
Al7 0.366 0.000 0.815
Al8 0.181 0.815 0.185
Al9 0.818 0.634 0.366
Al10 0.183 0.999 0.635
Al11 0.367 0.185 0.000
Zn1 0.813 0.813 0.820

Summary:
Density (g/cm³): 2.2
Energy (eV per formula unit): -70.5
Energy of formation from the pure elements (eV per atom): -0.0343
Crystal system: monoclinic

***

(12)
Density functional theory data (PBE) for a geometry-optimized MgAl3Zn structure.

Cell lengths 4.805, 4.805, 4.805 Å; angles 90.00, 90.00, 90.00 degrees
Fractional coordinates of all 5 atoms:
Mg1 0.500 0.500 0.500
Zn1 0.000 0.000 0.000
Al1 0.000 0.500 0.000
Al2 0.000 0.000 0.500
Al3 0.500 0.000 0.000

Summary:
Density (g/cm³): 2.6
Energy (eV per formula unit): -11.7
Energy of formation from the pure elements (eV per atom): 0.4754
Crystal system: cubic

***

Among the records above, which one has the highest energy of formation from the pure elements? MgAl3Zn3

***

Please write out number 11 again, unchanged.
Density functional theory data (PBE) for a geometry-optimized Mg17Al11Zn structure.

Cell lengths 9.090, 9.090, 9.109 Å; angles 70.52, 70.52, 109.42 degrees
Fractional coordinates of all 29 atoms:
Mg1 0.001 0.001 0.340
Mg2 0.315 0.315 0.287
Mg3 0.001 0.001 0.998
Mg4 0.603 0.603 0.716
Mg5 0.346 0.346 0.656
Mg6 0.400 0.684 0.000
Mg7 0.686 0.998 0.603
Mg8 0.284 0.600 0.400
Mg9 0.656 0.999 0.999
Mg10 0.999 0.398 0.316
Mg11 0.316 0.715 0.684
Mg12 0.715 0.316 0.684
Mg13 0.398 0.999 0.316
Mg14 0.999 0.656 0.999
Mg15 0.600 0.284 0.400
Mg16 0.998 0.686 0.603
Mg17 0.684 0.400 0.000
Al1 0.635 0.635 0.177
Al2 0.185 0.367 0.000
Al3 0.999 0.183 0.635
Al4 0.634 0.818 0.366
Al5 0.815 0.181 0.185
Al6 0.000 0.366 0.815
Al7 0.366 0.000 0.815
Al8 0.181 0.815 0.185
Al9 0.818 0.634 0.366
Al10 0.183 0.999 0.635
Al11 0.367 0.185 0.000
Zn1 0.813 0.813 0.820

Summary:
Density (g/cm³): 2.2
Energy (eV per formula unit): -70.5
Energy of formation from the pure elements (eV per atom): -0.0343
Crystal system: monoclinic

***

The highest energy belongs to which entry? MgAl2Zn

***

What is the density in the twelfth record? 2.6 g/cm³